This record from Alexandria describes Li3Cr2NiO6 after structural relaxation. The functional is GGA+U.

a b c (Å): 5.107 5.107 5.112
angles (deg): 99.71 99.71 119.94
Last column: magnetic moment on the atom in μB.
Fractional positions:
O  0.584  0.923  0.774  -0.08
Li  0.500  0.500  0.500  0.00
O  0.077  0.416  0.226  -0.08
O  0.735  0.735  0.231  -0.03
O  0.265  0.265  0.769  -0.03
Ni  0.000  0.000  0.000  1.61
Cr  0.334  0.666  0.000  2.85
O  0.923  0.584  0.774  -0.08
O  0.416  0.077  0.226  -0.08
Li  0.840  0.160  0.500  0.00
Cr  0.666  0.334  0.000  2.85
Li  0.160  0.840  0.500  0.00

The total magnetization is 7.00 μB/cell. For the relative energy among the computed polymorphs, the calculation gives 0.0042 eV/atom. The value obtained for the density of states at the Fermi level is 7.13 states/eV/f.u. The value obtained for the total energy is -6.22 eV per atom.